{"formula": "AlFeO3", "functional": "GGA+U", "state": "relaxed", "e_tot_ev_per_cell": -140.35, "rho_g_cm3": 4.7, "volume_a3_per_atom": 9.19, "cell": [[4.867, 0.000, 0.000], [0.000, 5.122, 0.000], [0.000, 0.000, 7.372]], "species": ["Al", "Fe", "Fe", "O", "O", "O", "O", "O", "O", "O", "O", "Al", "Fe", "Al", "O", "O", "O", "O", "Fe", "Al"], "fractional_positions": [[0.500, 0.000, 0.000], [0.526, 0.560, 0.250], [0.974, 0.060, 0.250], [0.638, 0.061, 0.750], [0.191, 0.195, 0.572], [0.691, 0.305, 0.428], [0.809, 0.805, 0.072], [0.362, 0.939, 0.250], [0.809, 0.805, 0.428], [0.691, 0.305, 0.072], [0.309, 0.695, 0.928], [0.000, 0.500, 0.500], [0.026, 0.940, 0.750], [0.000, 0.500, 0.000], [0.191, 0.195, 0.928], [0.138, 0.439, 0.250], [0.309, 0.695, 0.572], [0.862, 0.561, 0.750], [0.474, 0.440, 0.750], [0.500, 0.000, 0.500]]}